Here is a geometry-optimized Tc2SnCl structure from Alexandria. Energies are from GGA-PBE.

The structure in extended XYZ format:
```
4
Lattice="0.0000 3.2169 3.2169 3.2169 0.0000 3.2169 3.2169 3.2169 0.0000" Properties=species:S:1:pos:R:3 pbc="T T T"
Cl 0.0000 0.0000 0.0000
Sn 3.2169 3.2169 3.2169
Tc 1.6084 1.6084 1.6084
Tc 4.8253 4.8253 4.8253
```

## Properties
Its crystal system is cubic. The calculation puts the uncorrected formation energy at 0.757 eV/atom. Its density of states at the Fermi level is 3.8 states/eV/f.u. As for the energy above the lowest structure with this stoichiometry: 0 meV per atom.


Here is a geometry-optimized TcSnCl2 structure from Alexandria. Energies are from GGA-PBE.

The structure in extended XYZ format:
```
8
Lattice="8.3460 0.0000 0.0000 0.0000 8.3460 0.0000 4.1730 4.1730 2.6536" Properties=species:S:1:pos:R:3 pbc="T T T"
Cl 5.2454 2.0865 0.6634
Cl 3.1006 6.2595 0.6634
Cl 6.2595 7.2736 1.9902
Cl 10.4325 9.4184 1.9902
Sn 0.0000 0.0000 0.0000
Sn 8.3460 4.1730 1.3268
Tc 4.1730 4.1730 0.0000
Tc 4.1730 8.3460 1.3268
```

## Properties
Its crystal system is tetragonal. The calculation puts the uncorrected formation energy at 0.032 eV/atom. Its density of states at the Fermi level is 2.6 states/eV/f.u. As for the energy above the lowest structure with this stoichiometry: 13 meV per atom.


Here is a geometry-optimized TcSnCl2 structure from Alexandria. Energies are from GGA-PBE.

The structure in extended XYZ format:
```
4
Lattice="1.8070 0.0000 9.5660 -0.9035 1.5649 9.5660 -0.9035 -1.5649 9.5660" Properties=species:S:1:pos:R:3 pbc="T T T"
Cl 0.0000 0.0000 26.4237
Cl 0.0000 0.0000 2.2743
Sn 0.0000 0.0000 14.3490
Tc 0.0000 0.0000 0.0000
```

## Properties
Its crystal system is trigonal. The calculation puts the uncorrected formation energy at 0.114 eV/atom. Its density of states at the Fermi level is 2.2 states/eV/f.u. As for the energy above the lowest structure with this stoichiometry: 95 meV per atom.


Here is a geometry-optimized TcSnTeCl2 structure from Alexandria. Energies are from GGA-PBE.

The structure in extended XYZ format:
```
5
Lattice="-2.9116 4.0817 1.2481 -1.3518 -2.6036 5.3607 4.1124 2.2780 2.1434" Properties=species:S:1:pos:R:3 pbc="T T T"
Cl 2.0562 1.1390 1.0717
Cl -1.4558 2.0408 0.6241
Te -0.6759 -1.3018 2.6804
Sn 0.0000 0.0000 0.0000
Tc -0.0755 1.8781 4.3762
```

## Properties
Its crystal system is tetragonal. The calculation puts the uncorrected formation energy at 0.458 eV/atom. Its density of states at the Fermi level is 3.6 states/eV/f.u.


Here is a geometry-optimized TlTcSn2Cl structure from Alexandria. Energies are from GGA-PBE.

The structure in extended XYZ format:
```
5
Lattice="5.2107 0.0000 0.0000 0.0000 5.1470 0.0000 0.0000 0.0000 5.2107" Properties=species:S:1:pos:R:3 pbc="T T T"
Tl 2.6054 2.5735 2.6054
Cl 0.0000 2.5735 0.0000
Sn 0.0000 0.0000 2.6054
Sn 2.6054 0.0000 0.0000
Tc 0.0000 0.0000 0.0000
```

## Properties
Its crystal system is tetragonal. The calculation puts the uncorrected formation energy at 0.178 eV/atom. Its density of states at the Fermi level is 3.8 states/eV/f.u.


Here is a geometry-optimized SnTeCl2 structure from Alexandria. Energies are from GGA-PBE.

The structure in extended XYZ format:
```
4
Lattice="2.0351 0.0000 10.0302 -1.0175 1.7624 10.0302 -1.0175 -1.7624 10.0302" Properties=species:S:1:pos:R:3 pbc="T T T"
Te 0.0000 0.0000 0.0000
Sn 0.0000 0.0000 15.0454
Cl 0.0000 0.0000 27.4974
Cl 0.0000 0.0000 2.5933
```

## Properties
Its crystal system is trigonal. The calculation puts the uncorrected formation energy at -0.291 eV/atom. Its density of states at the Fermi level is 2.8 states/eV/f.u. As for the energy above the lowest structure with this stoichiometry: 0 meV per atom.